The following is a PBE calculation of a relaxed structure of Si4MoAs, from Alexandria via LeMat-Bulk.

Computed properties:
**Calculated volume**: 14.78 Å³/atom
**Density of states at the Fermi level**: 6.1 states/eV per cell
**Space-group type**: No. 216
**Total magnetization**: 0.0 μB per formula unit
**Calculated total energy**: -5.685 eV per atom
**Formation energy without anion corrections**: 510 meV per atom

a b c (Å): 5.006 5.006 5.006
angles (deg): 60.00 60.00 60.00
Positions (direct):
Si (0.376, 0.376, 0.376)
Si (0.376, 0.376, 0.873)
Si (0.376, 0.873, 0.376)
Si (0.873, 0.376, 0.376)
Mo (0.000, 0.000, 0.000)
As (0.750, 0.750, 0.750)

The following is a PBE calculation of a relaxed structure of Zr2OsRu, from Alexandria via LeMat-Bulk.

Computed properties:
**Calculated volume**: 18.59 Å³/atom
**Density of states at the Fermi level**: 1.7 states/eV per cell
**Space-group type**: No. 25
**Total magnetization**: 0.0 μB per formula unit
**DFT formation energy**: -3.753 kcal/mol of atoms
**Calculated total energy**: -9.563 eV per atom

a b c (Å): 3.183 4.304 5.427
angles (deg): 90.00 90.00 90.00
Positions (direct):
Zr (0.000, 0.000, 0.000)
Zr (0.500, 0.500, 0.350)
Os (0.000, 0.000, 0.494)
Ru (0.500, 0.500, 0.853)

The following is a PBE calculation of a relaxed structure of SiAsS2N, from Alexandria via LeMat-Bulk.

Computed properties:
**Calculated volume**: 15.04 Å³/atom
**Density of states at the Fermi level**: 3.1 states/eV per cell
**Space-group type**: No. 123
**Total magnetization**: 0.0 μB per formula unit
**Calculated total energy**: -4.344 eV per atom
**Formation energy without anion corrections**: 987 meV per atom
**Relative energy among the computed polymorphs**: 624 meV/atom

a b c (Å): 4.409 4.409 3.870
angles (deg): 90.00 90.00 90.00
Positions (direct):
Si (0.000, 0.000, 0.000)
As (0.500, 0.500, 0.000)
S (0.000, 0.500, 0.500)
S (0.500, 0.000, 0.500)
N (0.000, 0.000, 0.500)